A plane-wave DFT calculation with PBE was carried out for an optimized crystal structure of Li2TmNpSe4.

Summary:
calculated density = 6.56 Mg/m³
final energy = -5.82 eV/atom
M_tot = 0.500 μB per atom
formation energy without anion corrections = -1.43 eV per atom
symmetry = P2/m (10)

a = 6.9046 Å, b = 4.0629 Å, c = 7.0640 Å
α = 90.00°, β = 110.10°, γ = 90.00°
Element x y z (fractional)
Li  0.0000  0.0000  0.0000
Li  0.0000  0.5000  0.5000
Tm  0.5000  0.0000  0.5000
Np  0.5000  0.5000  0.0000
Se  0.2458  0.0000  0.7424
Se  0.2471  0.5000  0.2548
Se  0.7529  0.5000  0.7452
Se  0.7542  0.0000  0.2576